Computed, not measured: a relaxed structure of CaTl2Mo at the PBE level of DFT.

Unit cell a=10.625 b=10.625 c=10.625 alpha=154.02 beta=154.02 gamma=37.07
Element x y z (fractional)
Ca 0.000 0.000 0.000
Ca 0.750 0.250 0.500
Tl 0.179 0.625 0.054
Tl 0.375 0.429 0.554
Tl 0.571 0.125 0.946
Tl 0.875 0.821 0.446
Mo 0.250 0.750 0.500
Mo 0.500 0.500 0.000

Calculated values
Calculated formation energy: 0.730 eV/atom
D(E_F): 2.71 states/eV/f.u.
ρ: 7.9 g/cm³
E_tot: -29.29 eV/cell